1.
# NpGeRu2 | the Alexandria database | PBE | optimized geometry
# **Uncorrected energy**: -73.91 eV per cell
# **E_form**: -211 meV/atom
# **Crystal system**: monoclinic
# **Total magnetic moment**: 2.31 μB/f.u.
# **V**: 17.1 Å³/atom
# **Density of states at the Fermi level**: 11.9 states/eV/cell
data_NpGeRu2
_cell_length_a 4.669
_cell_length_b 4.375
_cell_length_c 6.849
_cell_angle_alpha 90.00
_cell_angle_beta 101.38
_cell_angle_gamma 90.00
_space_group_name_H-M_alt 'P 1'
_space_group_IT_number 1
loop_
_space_group_symop_operation_xyz
'x,y,z'
loop_
_atom_site_label
_atom_site_type_symbol
_atom_site_fract_x
_atom_site_fract_y
_atom_site_fract_z
Np1 Np 0.189 0.250 0.224
Np2 Np 0.811 0.750 0.776
Ge1 Ge 0.294 0.250 0.716
Ge2 Ge 0.706 0.750 0.284
Ru1 Ru 0.264 0.750 0.503
Ru2 Ru 0.322 0.750 0.936
Ru3 Ru 0.678 0.250 0.064
Ru4 Ru 0.736 0.250 0.497



2.
# NpGeRu3 | the Alexandria database | PBE | optimized geometry
# **Uncorrected energy**: -91.97 eV per cell
# **E_form**: -120 meV/atom
# **Crystal system**: orthorhombic
# **Total magnetic moment**: 1.74 μB/f.u.
# **V**: 17.0 Å³/atom
# **Density of states at the Fermi level**: 14.3 states/eV/cell
data_NpGeRu3
_cell_length_a 6.212
_cell_length_b 6.212
_cell_length_c 6.212
_cell_angle_alpha 127.26
_cell_angle_beta 105.77
_cell_angle_gamma 97.05
_space_group_name_H-M_alt 'P 1'
_space_group_IT_number 1
loop_
_space_group_symop_operation_xyz
'x,y,z'
loop_
_atom_site_label
_atom_site_type_symbol
_atom_site_fract_x
_atom_site_fract_y
_atom_site_fract_z
Np1 Np 0.263 0.013 0.250
Np2 Np 0.737 0.987 0.750
Ge1 Ge 0.000 0.500 0.500
Ge2 Ge 0.500 0.500 0.000
Ru1 Ru 0.025 0.275 0.750
Ru2 Ru 0.315 0.000 0.815
Ru3 Ru 0.315 0.500 0.315
Ru4 Ru 0.685 0.000 0.185
Ru5 Ru 0.685 0.500 0.685
Ru6 Ru 0.975 0.725 0.250



3.
# Np4Ge6Ru7 | the Alexandria database | PBE | optimized geometry
# **Uncorrected energy**: -151.35 eV per cell
# **E_form**: -409 meV/atom
# **Crystal system**: cubic
# **Total magnetic moment**: 10.42 μB/f.u.
# **V**: 17.0 Å³/atom
# **Density of states at the Fermi level**: 23.2 states/eV/cell
data_Np4Ge6Ru7
_cell_length_a 7.220
_cell_length_b 7.220
_cell_length_c 7.220
_cell_angle_alpha 109.47
_cell_angle_beta 109.47
_cell_angle_gamma 109.47
_space_group_name_H-M_alt 'P 1'
_space_group_IT_number 1
loop_
_space_group_symop_operation_xyz
'x,y,z'
loop_
_atom_site_label
_atom_site_type_symbol
_atom_site_fract_x
_atom_site_fract_y
_atom_site_fract_z
Np1 Np 0.000 0.000 0.500
Np2 Np 0.000 0.500 0.000
Np3 Np 0.500 0.000 0.000
Np4 Np 0.500 0.500 0.500
Ge1 Ge 0.000 0.309 0.309
Ge2 Ge 0.000 0.691 0.691
Ge3 Ge 0.309 0.000 0.309
Ge4 Ge 0.309 0.309 0.000
Ge5 Ge 0.691 0.000 0.691
Ge6 Ge 0.691 0.691 0.000
Ru1 Ru 0.000 0.000 0.000
Ru2 Ru 0.250 0.500 0.750
Ru3 Ru 0.250 0.750 0.500
Ru4 Ru 0.500 0.250 0.750
Ru5 Ru 0.500 0.750 0.250
Ru6 Ru 0.750 0.250 0.500
Ru7 Ru 0.750 0.500 0.250



4.
# NpGeRu2 | the Alexandria database | PBE | optimized geometry
# **Uncorrected energy**: -36.47 eV per cell
# **E_form**: -90 meV/atom
# **Crystal system**: tetragonal
# **Total magnetic moment**: 2.82 μB/f.u.
# **V**: 16.3 Å³/atom
# **Density of states at the Fermi level**: 5.5 states/eV/cell
data_NpGeRu2
_cell_length_a 3.077
_cell_length_b 3.077
_cell_length_c 6.868
_cell_angle_alpha 90.00
_cell_angle_beta 90.00
_cell_angle_gamma 90.00
_space_group_name_H-M_alt 'P 1'
_space_group_IT_number 1
loop_
_space_group_symop_operation_xyz
'x,y,z'
loop_
_atom_site_label
_atom_site_type_symbol
_atom_site_fract_x
_atom_site_fract_y
_atom_site_fract_z
Np1 Np 0.000 0.000 0.000
Ge1 Ge 0.000 0.000 0.500
Ru1 Ru 0.500 0.500 0.288
Ru2 Ru 0.500 0.500 0.712



5.
# Np3Ge3Ru2 | the Alexandria database | PBE | optimized geometry
# **Uncorrected energy**: -291.87 eV per cell
# **E_form**: -218 meV/atom
# **Crystal system**: orthorhombic
# **Total magnetic moment**: 10.72 μB/f.u.
# **V**: 19.7 Å³/atom
# **Density of states at the Fermi level**: 71.9 states/eV/cell
data_Np3Ge3Ru2
_cell_length_a 7.982
_cell_length_b 14.527
_cell_length_c 5.432
_cell_angle_alpha 90.00
_cell_angle_beta 90.00
_cell_angle_gamma 90.00
_space_group_name_H-M_alt 'P 1'
_space_group_IT_number 1
loop_
_space_group_symop_operation_xyz
'x,y,z'
loop_
_atom_site_label
_atom_site_type_symbol
_atom_site_fract_x
_atom_site_fract_y
_atom_site_fract_z
Np1 Np 0.031 0.109 0.113
Np2 Np 0.031 0.391 0.113
Np3 Np 0.162 0.250 0.641
Np4 Np 0.338 0.750 0.141
Np5 Np 0.469 0.609 0.613
Np6 Np 0.469 0.891 0.613
Np7 Np 0.531 0.109 0.387
Np8 Np 0.531 0.391 0.387
Np9 Np 0.662 0.250 0.859
Np10 Np 0.838 0.750 0.359
Np11 Np 0.969 0.609 0.887
Np12 Np 0.969 0.891 0.887
Ge1 Ge 0.187 0.750 0.641
Ge2 Ge 0.190 0.033 0.606
Ge3 Ge 0.190 0.467 0.606
Ge4 Ge 0.310 0.533 0.106
Ge5 Ge 0.310 0.967 0.106
Ge6 Ge 0.313 0.250 0.141
Ge7 Ge 0.687 0.750 0.859
Ge8 Ge 0.690 0.033 0.894
Ge9 Ge 0.690 0.467 0.894
Ge10 Ge 0.810 0.533 0.394
Ge11 Ge 0.810 0.967 0.394
Ge12 Ge 0.813 0.250 0.359
Ru1 Ru 0.090 0.615 0.363
Ru2 Ru 0.090 0.885 0.363
Ru3 Ru 0.410 0.115 0.863
Ru4 Ru 0.410 0.385 0.863
Ru5 Ru 0.590 0.615 0.137
Ru6 Ru 0.590 0.885 0.137
Ru7 Ru 0.910 0.115 0.637
Ru8 Ru 0.910 0.385 0.637



6.
# NpGeRu2 | the Alexandria database | PBE | optimized geometry
# **Uncorrected energy**: -36.81 eV per cell
# **E_form**: -176 meV/atom
# **Crystal system**: tetragonal
# **Total magnetic moment**: 2.61 μB/f.u.
# **V**: 16.6 Å³/atom
# **Density of states at the Fermi level**: 6.8 states/eV/cell
data_NpGeRu2
_cell_length_a 4.260
_cell_length_b 4.260
_cell_length_c 3.656
_cell_angle_alpha 90.00
_cell_angle_beta 90.00
_cell_angle_gamma 90.00
_space_group_name_H-M_alt 'P 1'
_space_group_IT_number 1
loop_
_space_group_symop_operation_xyz
'x,y,z'
loop_
_atom_site_label
_atom_site_type_symbol
_atom_site_fract_x
_atom_site_fract_y
_atom_site_fract_z
Np1 Np 0.000 0.000 0.000
Ge1 Ge 0.500 0.500 0.000
Ru1 Ru 0.000 0.500 0.500
Ru2 Ru 0.500 0.000 0.500



7.
# Np2Ge8Ru | the Alexandria database | PBE | optimized geometry
# **Uncorrected energy**: -74.35 eV per cell
# **E_form**: -205 meV/atom
# **Crystal system**: tetragonal
# **Total magnetic moment**: 6.59 μB/f.u.
# **V**: 18.6 Å³/atom
# **Density of states at the Fermi level**: 19.8 states/eV/cell
data_Np2Ge8Ru
_cell_length_a 4.285
_cell_length_b 4.285
_cell_length_c 11.116
_cell_angle_alpha 90.00
_cell_angle_beta 90.00
_cell_angle_gamma 90.00
_space_group_name_H-M_alt 'P 1'
_space_group_IT_number 1
loop_
_space_group_symop_operation_xyz
'x,y,z'
loop_
_atom_site_label
_atom_site_type_symbol
_atom_site_fract_x
_atom_site_fract_y
_atom_site_fract_z
Np1 Np 0.000 0.000 0.188
Np2 Np 0.000 0.000 0.812
Ge1 Ge 0.000 0.500 0.000
Ge2 Ge 0.000 0.500 0.374
Ge3 Ge 0.000 0.500 0.626
Ge4 Ge 0.500 0.000 0.000
Ge5 Ge 0.500 0.000 0.374
Ge6 Ge 0.500 0.000 0.626
Ge7 Ge 0.500 0.500 0.190
Ge8 Ge 0.500 0.500 0.810
Ru1 Ru 0.000 0.000 0.500



8.
# NpGe3Ru3 | the Alexandria database | PBE | optimized geometry
# **Uncorrected energy**: -104.53 eV per cell
# **E_form**: 336 meV/atom
# **Crystal system**: cubic
# **Total magnetic moment**: 4.31 μB/f.u.
# **V**: 21.3 Å³/atom
# **Density of states at the Fermi level**: 28.8 states/eV/cell
data_NpGe3Ru3
_cell_length_a 6.684
_cell_length_b 6.684
_cell_length_c 6.684
_cell_angle_alpha 90.00
_cell_angle_beta 90.00
_cell_angle_gamma 90.00
_space_group_name_H-M_alt 'P 1'
_space_group_IT_number 1
loop_
_space_group_symop_operation_xyz
'x,y,z'
loop_
_atom_site_label
_atom_site_type_symbol
_atom_site_fract_x
_atom_site_fract_y
_atom_site_fract_z
Np1 Np 0.000 0.000 0.000
Np2 Np 0.500 0.500 0.500
Ge1 Ge 0.000 0.250 0.500
Ge2 Ge 0.000 0.750 0.500
Ge3 Ge 0.250 0.500 0.000
Ge4 Ge 0.500 0.000 0.250
Ge5 Ge 0.500 0.000 0.750
Ge6 Ge 0.750 0.500 0.000
Ru1 Ru 0.000 0.500 0.250
Ru2 Ru 0.000 0.500 0.750
Ru3 Ru 0.250 0.000 0.500
Ru4 Ru 0.500 0.250 0.000
Ru5 Ru 0.500 0.750 0.000
Ru6 Ru 0.750 0.000 0.500



9.
# Np2Si2GeRu5 | the Alexandria database | PBE | optimized geometry
# **Uncorrected energy**: -182.94 eV per cell
# **Raw formation energy**: -0.37 eV/atom
# **Crystal system**: tetragonal
# **Total magnetic moment**: 6.83 μB/f.u.
# **V**: 15.9 Å³/atom
# **Density of states at the Fermi level**: 26.2 states/eV/cell
data_Np2Si2GeRu5
_cell_length_a 10.135
_cell_length_b 10.135
_cell_length_c 3.095
_cell_angle_alpha 90.00
_cell_angle_beta 90.00
_cell_angle_gamma 90.00
_space_group_name_H-M_alt 'P 1'
_space_group_IT_number 1
loop_
_space_group_symop_operation_xyz
'x,y,z'
loop_
_atom_site_label
_atom_site_type_symbol
_atom_site_fract_x
_atom_site_fract_y
_atom_site_fract_z
Np1 Np 0.176 0.324 0.000
Np2 Np 0.324 0.824 0.000
Np3 Np 0.676 0.176 0.000
Np4 Np 0.824 0.676 0.000
Si1 Si 0.129 0.629 0.000
Si2 Si 0.371 0.129 0.000
Si3 Si 0.629 0.871 0.000
Si4 Si 0.871 0.371 0.000
Ge1 Ge 0.000 0.000 0.000
Ge2 Ge 0.500 0.500 0.000
Ru1 Ru 0.000 0.500 0.500
Ru2 Ru 0.056 0.797 0.500
Ru3 Ru 0.203 0.056 0.500
Ru4 Ru 0.297 0.556 0.500
Ru5 Ru 0.444 0.297 0.500
Ru6 Ru 0.500 0.000 0.500
Ru7 Ru 0.556 0.703 0.500
Ru8 Ru 0.703 0.444 0.500
Ru9 Ru 0.797 0.944 0.500
Ru10 Ru 0.944 0.203 0.500